Computed, not measured: crystalline NaHoInSe3 at its relaxed geometry at the GGA-PBE level of DFT.

## Properties
- total moment (μB/f.u.) = 0.02
- space-group type = Cmcm, No. 63
- uncorrected energy (eV for the cell shown) = -50.40

Lattice parameters (Å, degrees): 7.5122 7.5122 10.8400 90.00 90.00 147.39
Fractional positions:
1 Ho 0.0000 0.0000 0.5000
2 Na 0.2482 0.7518 0.7500
3 In 0.4681 0.5319 0.2500
4 Na 0.7518 0.2482 0.2500
5 Se 0.3639 0.6361 0.0445
6 Ho 0.0000 0.0000 0.0000
7 Se 0.9073 0.0927 0.7500
8 In 0.5319 0.4681 0.7500
9 Se 0.6361 0.3639 0.5445
10 Se 0.6361 0.3639 0.9555
11 Se 0.0927 0.9073 0.2500
12 Se 0.3639 0.6361 0.4555

---

Computed, not measured: crystalline HoNbIn at its relaxed geometry at the GGA-PBE level of DFT.

## Properties
- total moment (μB/f.u.) = 2.94
- polymorph energy (0 for the lowest one) (eV per atom) = 0.000
- space-group type = F-43m, No. 216

Lattice parameters (Å, degrees): 4.9005 4.9005 4.9005 60.00 60.00 60.00
Last column: magnetic moment on the atom in μB.
Fractional positions:
1 In 0.7500 0.7500 0.7500  -0.08
2 Ho 0.2500 0.2500 0.2500  0.66
3 Nb 0.0000 0.0000 0.0000  2.05

---

Computed, not measured: crystalline HoNbIn at its relaxed geometry at the GGA-PBE level of DFT.

## Properties
- total moment (μB/f.u.) = 3.02
- polymorph energy (0 for the lowest one) (eV per atom) = 0.276
- space-group type = F-43m, No. 216

Lattice parameters (Å, degrees): 4.9523 4.9523 4.9523 60.00 60.00 60.00
Last column: magnetic moment on the atom in μB.
Fractional positions:
1 Ho 0.0000 0.0000 0.0000  0.60
2 In 0.2500 0.2500 0.2500  -0.11
3 Nb 0.7500 0.7500 0.7500  2.23

---

Computed, not measured: crystalline Ho2NbInO6 at its relaxed geometry at the GGA-PBE level of DFT.

## Properties
- total moment (μB/f.u.) = 1.99
- space-group type = P2_1/c, No. 14
- uncorrected energy (eV for the cell shown) = -155.12

Lattice parameters (Å, degrees): 5.4851 5.8259 9.5540 90.00 124.12 90.00
Last column: magnetic moment on the atom in μB.
Fractional positions:
1 O 0.1029 0.3105 0.9252  0.02
2 Ho 0.7707 0.5731 0.7476  0.07
3 O 0.6062 0.9337 0.7550  0.02
4 O 0.7396 0.3160 0.5649  0.03
5 O 0.3938 0.4337 0.7450  0.02
6 O 0.6062 0.5663 0.2550  0.02
7 O 0.3938 0.0663 0.2450  0.02
8 In 0.5000 0.5000 0.0000  0.05
9 In 0.5000 0.0000 0.5000  0.04
10 Ho 0.2293 0.0731 0.7524  0.07
11 O 0.8971 0.6895 0.0748  0.02
12 O 0.7396 0.1840 0.0649  0.03
13 Nb 0.0000 0.5000 0.5000  1.43
14 O 0.2604 0.6840 0.4351  0.03
15 Ho 0.7707 0.9269 0.2476  0.07
16 O 0.8971 0.8105 0.5748  0.02
17 O 0.1029 0.1895 0.4252  0.02
18 O 0.2604 0.8160 0.9351  0.03
19 Ho 0.2293 0.4269 0.2524  0.07
20 Nb 0.0000 0.0000 0.0000  1.42

---

Computed, not measured: crystalline NdHoIn at its relaxed geometry at the GGA-PBE level of DFT.

## Properties
- total moment (μB/f.u.) = 0.15
- polymorph energy (0 for the lowest one) (eV per atom) = 0.000
- space-group type = F-43m, No. 216

Lattice parameters (Å, degrees): 5.2464 5.2464 5.2464 60.00 60.00 60.00
Fractional positions:
1 Ho 0.5000 0.5000 0.5000
2 Nd 0.0000 0.0000 0.0000
3 In 0.2500 0.2500 0.2500

---

Computed, not measured: crystalline Nd2HoIn at its relaxed geometry at the GGA-PBE level of DFT.

## Properties
- total moment (μB/f.u.) = 0.03
- space-group type = P4/mmm, No. 123
- uncorrected energy (eV for the cell shown) = -17.93

Lattice parameters (Å, degrees): 4.9067 4.9067 4.9723 90.00 90.00 90.00
Fractional positions:
1 In 0.0000 0.0000 0.0000
2 Ho 0.5000 0.5000 0.0000
3 Nd 0.0000 0.5000 0.5000
4 Nd 0.5000 0.0000 0.5000

---

Computed, not measured: crystalline NdHoIn2 at its relaxed geometry at the GGA-PBE level of DFT.

## Properties
- total moment (μB/f.u.) = 0.01
- space-group type = P4/mmm, No. 123
- uncorrected energy (eV for the cell shown) = -16.73

Lattice parameters (Å, degrees): 3.8033 3.8033 7.6041 90.00 90.00 90.00
Fractional positions:
1 In 0.5000 0.5000 0.2364
2 Ho 0.0000 0.0000 0.0000
3 In 0.5000 0.5000 0.7636
4 Nd 0.0000 0.0000 0.5000

---

Computed, not measured: crystalline NdHoIn2Pd4 at its relaxed geometry at the GGA-PBE level of DFT.

## Properties
- total moment (μB/f.u.) = 0.00
- space-group type = P-6m2, No. 187
- uncorrected energy (eV for the cell shown) = -41.96

Lattice parameters (Å, degrees): 4.6118 4.6118 9.0370 90.00 90.00 120.00
Fractional positions:
1 Pd 0.3333 0.6667 0.8414
2 In 0.6667 0.3333 0.2428
3 Pd 0.0000 0.0000 0.6706
4 Pd 0.0000 0.0000 0.3294
5 Nd 0.3333 0.6667 0.5000
6 Pd 0.3333 0.6667 0.1586
7 In 0.6667 0.3333 0.7572
8 Ho 0.0000 0.0000 0.0000

---

Computed, not measured: crystalline NdHoZn2In2 at its relaxed geometry at the GGA-PBE level of DFT.

## Properties
- total moment (μB/f.u.) = 0.00
- space-group type = P3m1, No. 156
- uncorrected energy (eV for the cell shown) = -20.17

Lattice parameters (Å, degrees): 4.6997 4.6997 7.3887 90.00 90.00 120.00
Fractional positions:
1 In 0.6667 0.3333 0.8038
2 Nd 0.0000 0.0000 0.5201
3 Ho 0.0000 0.0000 0.0211
4 Zn 0.3333 0.6667 0.7261
5 Zn 0.6667 0.3333 0.2117
6 In 0.3333 0.6667 0.2872

---

Computed, not measured: crystalline Ho12InNi6 at its relaxed geometry at the GGA-PBE level of DFT.

## Properties
- total moment (μB/f.u.) = 0.18
- space-group type = Im-3, No. 204
- uncorrected energy (eV for the cell shown) = -98.33

Lattice parameters (Å, degrees): 8.3427 8.3427 8.3427 109.47 109.47 109.47
Fractional positions:
1 Ho 0.5099 0.8126 0.6973
2 Ho 0.1874 0.6973 0.8846
3 Ho 0.3027 0.4901 0.1874
4 Ho 0.3027 0.1154 0.8126
5 Ho 0.4901 0.1874 0.3027
6 Ho 0.6973 0.5099 0.8126
7 Ni 0.5000 0.1234 0.6234
8 Ho 0.6973 0.8846 0.1874
9 Ho 0.1874 0.3027 0.4901
10 Ho 0.8846 0.1874 0.6973
11 Ni 0.3766 0.5000 0.8766
12 Ho 0.8126 0.6973 0.5099
13 In 0.0000 0.0000 0.0000
14 Ni 0.1234 0.6234 0.5000
15 Ni 0.8766 0.3766 0.5000
16 Ho 0.1154 0.8126 0.3027
17 Ho 0.8126 0.3027 0.1154
18 Ni 0.6234 0.5000 0.1234
19 Ni 0.5000 0.8766 0.3766

---

Computed, not measured: crystalline HoInNi at its relaxed geometry at the GGA-PBE level of DFT.

## Properties
- total moment (μB/f.u.) = 0.06
- space-group type = P6_3/mmc, No. 194
- uncorrected energy (eV for the cell shown) = -23.91

Lattice parameters (Å, degrees): 5.0132 5.0132 7.1801 90.00 90.00 120.00
Last column: magnetic moment on the atom in μB.
Fractional positions:
1 Ni 0.0000 0.0000 0.5000  0.05
2 In 0.6667 0.3333 0.7500  0.00
3 Ni 0.0000 0.0000 0.0000  0.06
4 Ho 0.3333 0.6667 0.7500  0.00
5 Ho 0.6667 0.3333 0.2500  0.00
6 In 0.3333 0.6667 0.2500  0.00

---

Computed, not measured: crystalline Ho5In4Ni2 at its relaxed geometry at the GGA-PBE level of DFT.

## Properties
- total moment (μB/f.u.) = 0.13
- space-group type = Pbam, No. 55
- uncorrected energy (eV for the cell shown) = -101.57

Lattice parameters (Å, degrees): 7.9197 17.8859 3.5963 90.00 90.00 90.00
Last column: magnetic moment on the atom in μB.
Fractional positions:
1 In 0.9346 0.3486 0.0000  0.00
2 Ho 0.1203 0.0882 0.5000  0.01
3 In 0.5654 0.8486 0.0000  0.00
4 Ho 0.7542 0.2215 0.5000  0.01
5 In 0.7966 0.0685 0.0000  0.00
6 Ho 0.3797 0.5882 0.5000  0.01
7 In 0.0654 0.6514 0.0000  0.00
8 Ni 0.4670 0.6964 0.0000  0.00
9 Ho 0.0000 0.5000 0.5000  0.06
10 Ni 0.5330 0.3036 0.0000  0.00
11 Ho 0.2458 0.7785 0.5000  0.01
12 Ho 0.5000 0.0000 0.5000  0.05
13 Ni 0.9670 0.8036 0.0000  0.00
14 In 0.7034 0.5685 0.0000  0.00
15 In 0.2966 0.4315 0.0000  0.00
16 Ho 0.6203 0.4118 0.5000  0.01
17 In 0.2034 0.9315 0.0000  0.00
18 Ho 0.2542 0.2785 0.5000  0.00
19 In 0.4346 0.1514 0.0000  0.00
20 Ho 0.8797 0.9118 0.5000  0.01
21 Ni 0.0330 0.1964 0.0000  0.00
22 Ho 0.7458 0.7215 0.5000  0.00